(1)
{"formula": "Pu2Mg5Cd12", "functional": "PBE-GGA", "state": "optimized geometry", "cell": [[7.6177, 0.2099, 0.8687], [0.7987, 7.5786, 0.8687], [0.2269, 0.2099, 7.6637]], "species": ["Cd", "Cd", "Cd", "Cd", "Cd", "Cd", "Cd", "Cd", "Cd", "Cd", "Cd", "Cd", "Mg", "Mg", "Mg", "Mg", "Mg", "Pu", "Pu"], "frac_coords": [[0.0000, 0.2953, 0.7047], [0.8485, 0.3586, 0.3586], [0.6414, 0.1515, 0.6414], [0.2953, 0.0000, 0.7047], [0.3586, 0.3586, 0.8485], [0.7047, 0.2953, 0.0000], [0.2953, 0.7047, 0.0000], [0.7047, 0.0000, 0.2953], [0.6414, 0.6414, 0.1515], [0.0000, 0.7047, 0.2953], [0.3586, 0.8485, 0.3586], [0.1515, 0.6414, 0.6414], [0.1021, 0.1021, 0.1021], [0.8979, 0.8979, 0.8979], [0.0000, 0.5000, 0.0000], [0.0000, 0.0000, 0.5000], [0.5000, 0.0000, 0.0000], [0.6661, 0.6661, 0.6661], [0.3339, 0.3339, 0.3339]], "space_group": "R-3m", "total_magnetization_mub_per_cell": 11.923, "dos_at_fermi_per_ev_cell": 34.39, "ef_ev_per_atom": -0.07}

---

(2)
{"formula": "PuMgCd2", "functional": "PBE-GGA", "state": "optimized geometry", "cell": [[3.1311, 0.0000, 0.0000], [0.0000, 5.5759, 0.0000], [0.0000, 0.0000, 5.5759]], "species": ["Cd", "Cd", "Pu", "Mg"], "frac_coords": [[0.0000, 0.0000, 0.5000], [0.0000, 0.5000, 0.0000], [0.5000, 0.5000, 0.5000], [0.5000, 0.0000, 0.0000]], "space_group": "P4/mmm", "total_magnetization_mub_per_cell": 5.857, "dos_at_fermi_per_ev_cell": 10.58, "ef_ev_per_atom": 0.01}

---

(3)
{"formula": "PuMg5Cd3", "functional": "PBE-GGA", "state": "optimized geometry", "cell": [[1.6406, 3.3959, 8.0130], [-3.6540, -8.0331, -0.7415], [5.3063, -2.4076, -0.0661]], "species": ["Mg", "Mg", "Mg", "Mg", "Mg", "Mg", "Mg", "Mg", "Mg", "Mg", "Pu", "Pu", "Cd", "Cd", "Cd", "Cd", "Cd", "Cd"], "frac_coords": [[0.6667, 0.3333, 0.5000], [0.6646, 0.6646, 0.7500], [0.3333, 0.6667, 0.5000], [0.6667, 0.3333, 0.0000], [0.0000, 0.6646, 0.2500], [0.3333, 0.6667, 0.0000], [0.3354, 0.3354, 0.2500], [0.0000, 0.3354, 0.7500], [0.3354, 0.0000, 0.7500], [0.6646, 0.0000, 0.2500], [0.0000, 0.0000, 0.5000], [0.0000, 0.0000, 0.0000], [0.6665, 0.6665, 0.2500], [0.0000, 0.6665, 0.7500], [0.3335, 0.3335, 0.7500], [0.3335, 0.0000, 0.2500], [0.0000, 0.3335, 0.2500], [0.6665, 0.0000, 0.7500]], "space_group": "P6_3/mcm", "total_magnetization_mub_per_cell": 0.631, "dos_at_fermi_per_ev_cell": 23.27, "ef_ev_per_atom": 0.17}

---

(4)
{"formula": "PuMgCd4", "functional": "PBE-GGA", "state": "optimized geometry", "cell": [[4.4447, 0.0000, 0.0000], [0.0000, 7.2684, 0.0000], [-2.2223, 0.0000, 9.1456]], "species": ["Pu", "Pu", "Cd", "Cd", "Cd", "Cd", "Cd", "Cd", "Cd", "Cd", "Mg", "Mg"], "frac_coords": [[0.1120, 0.2500, 0.2241], [0.8880, 0.7500, 0.7759], [0.5000, 0.5000, 0.0000], [0.3347, 0.4523, 0.6693], [0.9306, 0.2500, 0.8612], [0.5000, 0.0000, 0.0000], [0.6653, 0.9523, 0.3307], [0.0694, 0.7500, 0.1388], [0.6653, 0.5477, 0.3307], [0.3347, 0.0477, 0.6693], [0.7654, 0.2500, 0.5307], [0.2346, 0.7500, 0.4693]], "space_group": "Cmcm", "total_magnetization_mub_per_cell": 12.298, "e_above_lowest_polymorph_ev_per_atom": 0.098, "dos_at_fermi_per_ev_cell": 29.84, "ef_ev_per_atom": 0.01}

---

(5)
{"formula": "PuMg2Cd9", "functional": "PBE-GGA", "state": "optimized geometry", "cell": [[-5.2747, 3.2503, 4.6291], [-2.1302, -4.9961, 7.5416], [3.5225, 5.4936, 6.6172]], "species": ["Mg", "Mg", "Mg", "Mg", "Cd", "Cd", "Cd", "Cd", "Cd", "Cd", "Cd", "Cd", "Cd", "Cd", "Cd", "Cd", "Cd", "Cd", "Cd", "Cd", "Cd", "Cd", "Pu", "Pu"], "frac_coords": [[0.8750, 0.7500, 0.2500], [0.8750, 0.2500, 0.2500], [0.3750, 0.7500, 0.7500], [0.8750, 0.2500, 0.7500], [0.0818, 0.3226, 0.9181], [0.0818, 0.9181, 0.3226], [0.7499, 0.5819, 0.8226], [0.4275, 0.8226, 0.4181], [0.1544, 0.1774, 0.4181], [0.3225, 0.0819, 0.6774], [0.5956, 0.3226, 0.0819], [0.0001, 0.6774, 0.9181], [0.4275, 0.4181, 0.8226], [0.7499, 0.8226, 0.5819], [0.0000, 0.0000, 0.0000], [0.1544, 0.4181, 0.1774], [0.5956, 0.0819, 0.3226], [0.6682, 0.5819, 0.1774], [0.7500, 0.5000, 0.5000], [0.3225, 0.6774, 0.0819], [0.0001, 0.9181, 0.6774], [0.6682, 0.1774, 0.5819], [0.5000, 0.0000, 0.0000], [0.2500, 0.5000, 0.5000]], "space_group": "I4_1/amd", "total_magnetization_mub_per_cell": 12.106, "dos_at_fermi_per_ev_cell": 42.67, "ef_ev_per_atom": -0.05}

---

(6)
{"formula": "PuMgCd4", "functional": "PBE-GGA", "state": "optimized geometry", "cell": [[-0.4425, 5.7139, 1.4201], [-4.9482, 2.9747, -1.2363], [-3.5994, 1.6868, 4.3658]], "species": ["Cd", "Cd", "Cd", "Cd", "Pu", "Mg"], "frac_coords": [[0.6250, 0.6250, 0.1251], [0.6250, 0.6250, 0.6250], [0.1251, 0.6250, 0.6250], [0.6250, 0.1251, 0.6250], [0.2500, 0.2500, 0.2500], [0.0000, 0.0000, 0.0000]], "space_group": "F-43m", "total_magnetization_mub_per_cell": 6.120, "e_above_lowest_polymorph_ev_per_atom": 0.103, "dos_at_fermi_per_ev_cell": 13.94, "ef_ev_per_atom": 0.01}

---

(7)
{"formula": "PuMgCd", "functional": "PBE-GGA", "state": "optimized geometry", "cell": [[-1.3860, -2.9038, 3.4934], [3.2479, -3.1401, -1.3215], [2.6637, 4.3251, 4.6523]], "species": ["Mg", "Mg", "Cd", "Cd", "Pu", "Pu"], "frac_coords": [[0.7500, 0.7545, 0.5090], [0.2500, 0.2455, 0.4910], [0.7500, 0.3923, 0.7846], [0.2500, 0.6077, 0.2154], [0.7500, 0.0640, 0.1279], [0.2500, 0.9360, 0.8721]], "space_group": "Cmcm", "total_magnetization_mub_per_cell": 11.514, "dos_at_fermi_per_ev_cell": 19.37, "ef_ev_per_atom": 0.03}

---

(8)
{"formula": "PuMgCd", "functional": "PBE-GGA", "state": "optimized geometry", "cell": [[3.1767, 0.0000, 0.0000], [-1.5883, 2.7511, 0.0000], [0.0000, 0.0000, 8.2990]], "species": ["Mg", "Pu", "Cd"], "frac_coords": [[0.3333, 0.6667, 0.6542], [0.0000, 0.0000, 0.0020], [0.6667, 0.3333, 0.3437]], "space_group": "P3m1", "total_magnetization_mub_per_cell": 5.820, "dos_at_fermi_per_ev_cell": 8.22, "ef_ev_per_atom": 0.07}

---

(9)
{"formula": "PuMg2Cd", "functional": "PBE-GGA", "state": "optimized geometry", "cell": [[-1.4749, -2.7952, 0.1786], [1.5411, -2.5350, 1.1041], [-3.2780, 0.6086, 10.5102]], "species": ["Cd", "Mg", "Mg", "Pu"], "frac_coords": [[0.6665, 0.6665, 0.0005], [0.2542, 0.2542, 0.2373], [0.0788, 0.0788, 0.7635], [0.5004, 0.5004, 0.4988]], "space_group": "R3m", "total_magnetization_mub_per_cell": 5.768, "e_above_lowest_polymorph_ev_per_atom": 0.031, "dos_at_fermi_per_ev_cell": 7.71, "ef_ev_per_atom": 0.04}

---

(10)
{"formula": "PuMgCd3", "functional": "PBE-GGA", "state": "optimized geometry", "cell": [[3.1311, 0.0000, 0.0000], [0.0000, 5.1468, 0.0000], [0.0000, 0.0000, 14.4462]], "species": ["Pu", "Pu", "Cd", "Cd", "Cd", "Cd", "Cd", "Cd", "Mg", "Mg"], "frac_coords": [[0.0000, 0.7500, 0.8452], [0.0000, 0.2500, 0.1548], [0.5000, 0.7500, 0.2601], [0.0000, 0.7500, 0.4429], [0.5000, 0.2500, 0.9483], [0.0000, 0.2500, 0.5571], [0.5000, 0.2500, 0.7399], [0.5000, 0.7500, 0.0517], [0.5000, 0.2500, 0.3717], [0.5000, 0.7500, 0.6283]], "space_group": "Pmma", "total_magnetization_mub_per_cell": 11.912, "e_above_lowest_polymorph_ev_per_atom": 0.000, "dos_at_fermi_per_ev_cell": 18.53, "ef_ev_per_atom": -0.08}

---

(11)
{"formula": "PuMgCd4", "functional": "PBE-GGA", "state": "optimized geometry", "cell": [[3.0587, 0.0000, 0.0106], [0.0000, 5.0301, 0.0000], [-0.0459, 0.0000, 9.0691]], "species": ["Pu", "Cd", "Cd", "Cd", "Cd", "Mg"], "frac_coords": [[0.5000, 0.0000, 0.0000], [0.0015, 0.5000, 0.1736], [0.9985, 0.5000, 0.8264], [0.9963, 0.0000, 0.6602], [0.0037, 0.0000, 0.3398], [0.5000, 0.5000, 0.5000]], "space_group": "P2/m", "total_magnetization_mub_per_cell": 5.877, "e_above_lowest_polymorph_ev_per_atom": 0.000, "dos_at_fermi_per_ev_cell": 9.73, "ef_ev_per_atom": -0.09}

---

(12)
{"formula": "PuMgCd", "functional": "PBE-GGA", "state": "optimized geometry", "cell": [[-4.8599, -0.6663, -1.0362], [-3.2398, -0.9826, 3.6979], [-3.8603, 6.5577, 1.7592]], "species": ["Pu", "Pu", "Mg", "Mg", "Cd", "Cd"], "frac_coords": [[0.1458, 0.1458, 0.5625], [0.8542, 0.8542, 0.4375], [0.7072, 0.7072, 0.8785], [0.2928, 0.2928, 0.1215], [0.4252, 0.4252, 0.7243], [0.5748, 0.5748, 0.2757]], "space_group": "R-3m", "total_magnetization_mub_per_cell": 11.519, "dos_at_fermi_per_ev_cell": 16.24, "ef_ev_per_atom": 0.12}

---

(13)
{"formula": "PuMgCd2", "functional": "PBE-GGA", "state": "optimized geometry", "cell": [[-0.3801, 2.5869, -1.8412], [1.0100, -1.6595, -2.5402], [-8.5624, -2.5129, -1.7629]], "species": ["Mg", "Pu", "Cd", "Cd"], "frac_coords": [[0.5000, 0.5000, 0.0000], [0.5000, 0.5000, 0.5000], [0.0000, 0.0000, 0.2296], [0.0000, 0.0000, 0.7704]], "space_group": "P4/mmm", "total_magnetization_mub_per_cell": 5.917, "dos_at_fermi_per_ev_cell": 6.02, "ef_ev_per_atom": -0.08}

---

(14)
{"formula": "PuMg2Cd", "functional": "PBE-GGA", "state": "optimized geometry", "cell": [[-0.2604, 1.8897, 4.7500], [-3.9333, -1.2353, 3.0338], [0.7388, -3.0776, 4.0228]], "species": ["Mg", "Mg", "Pu", "Cd"], "frac_coords": [[0.7500, 0.7500, 0.7500], [0.2500, 0.2500, 0.2500], [0.5000, 0.5000, 0.5000], [0.0000, 0.0000, 0.0000]], "space_group": "Fm-3m", "total_magnetization_mub_per_cell": 5.824, "e_above_lowest_polymorph_ev_per_atom": 0.077, "dos_at_fermi_per_ev_cell": 11.09, "ef_ev_per_atom": 0.09}

---

(15)
{"formula": "PuMg4Cd15", "functional": "PBE-GGA", "state": "optimized geometry", "cell": [[4.5901, 0.0000, 0.0000], [0.0000, 4.5901, 0.0000], [0.0000, 0.0000, 21.5507]], "species": ["Cd", "Cd", "Cd", "Cd", "Cd", "Cd", "Cd", "Cd", "Cd", "Cd", "Cd", "Cd", "Cd", "Cd", "Cd", "Mg", "Mg", "Mg", "Mg", "Pu"], "frac_coords": [[0.5000, 0.0000, 0.8919], [0.0000, 0.5000, 0.8919], [0.5000, 0.5000, 0.7917], [0.5000, 0.0000, 0.6960], [0.0000, 0.5000, 0.6960], [0.5000, 0.5000, 0.6002], [0.5000, 0.0000, 0.5000], [0.0000, 0.5000, 0.1081], [0.5000, 0.0000, 0.1081], [0.5000, 0.5000, 0.2083], [0.5000, 0.0000, 0.3040], [0.0000, 0.5000, 0.3040], [0.5000, 0.5000, 0.0000], [0.5000, 0.5000, 0.3998], [0.0000, 0.5000, 0.5000], [0.0000, 0.0000, 0.5975], [0.0000, 0.0000, 0.2043], [0.0000, 0.0000, 0.7957], [0.0000, 0.0000, 0.4025], [0.0000, 0.0000, 0.0000]], "space_group": "P4/mmm", "total_magnetization_mub_per_cell": 5.978, "dos_at_fermi_per_ev_cell": 19.44, "ef_ev_per_atom": -0.06}

---

(16)
{"formula": "PuMgCd6", "functional": "PBE-GGA", "state": "optimized geometry", "cell": [[-2.0309, 2.6720, -3.5749], [-2.6580, -5.3375, -2.4795], [-3.9354, 2.7700, 4.3061]], "species": ["Cd", "Cd", "Cd", "Cd", "Cd", "Cd", "Pu", "Mg"], "frac_coords": [[0.0000, 0.6388, 0.9413], [0.0000, 0.5643, 0.4357], [0.5000, 0.4425, 0.1343], [0.0000, 0.0587, 0.3612], [0.5000, 0.9319, 0.0681], [0.5000, 0.8657, 0.5575], [0.0000, 0.1265, 0.8735], [0.5000, 0.3714, 0.6286]], "space_group": "Amm2", "total_magnetization_mub_per_cell": 5.965, "dos_at_fermi_per_ev_cell": 15.34, "ef_ev_per_atom": -0.03}

---

(17)
{"formula": "Pu2MgCd6", "functional": "PBE-GGA", "state": "optimized geometry", "cell": [[3.0544, 0.0000, 0.0011], [0.0016, 7.7525, 4.4581], [0.0000, 0.0157, 8.9429]], "species": ["Pu", "Pu", "Mg", "Cd", "Cd", "Cd", "Cd", "Cd", "Cd"], "frac_coords": [[0.0000, 0.6667, 0.6667], [0.0000, 0.3333, 0.3333], [0.0000, 0.0000, 0.0000], [0.5000, 0.3276, 0.6724], [0.5000, 0.6724, 0.3276], [0.5007, 0.0000, 0.3275], [0.4993, 0.6725, 0.0000], [0.4993, 0.0000, 0.6725], [0.5007, 0.3275, 0.0000]], "space_group": "P6/mmm", "total_magnetization_mub_per_cell": 11.607, "dos_at_fermi_per_ev_cell": 16.70, "ef_ev_per_atom": -0.11}

---

(18)
{"formula": "PuMgCdRh", "functional": "PBE-GGA", "state": "optimized geometry", "cell": [[-2.9544, 2.6054, -2.9467], [-2.0337, -2.1229, -3.9443], [-4.8311, -0.9240, -0.0795]], "species": ["Rh", "Pu", "Cd", "Mg"], "frac_coords": [[0.5000, 0.5000, 0.5000], [0.2500, 0.2500, 0.2500], [0.0000, 0.0000, 0.0000], [0.7500, 0.7500, 0.7500]], "space_group": "F-43m", "total_magnetization_mub_per_cell": 5.382, "dos_at_fermi_per_ev_cell": 10.80, "ef_ev_per_atom": -0.13}

---

(19)
{"formula": "SmPuMgCd", "functional": "PBE-GGA", "state": "optimized geometry", "cell": [[5.3872, 0.0000, 0.0000], [2.6936, 4.6654, 0.0000], [2.6936, 1.5551, 4.3986]], "species": ["Pu", "Mg", "Sm", "Cd"], "frac_coords": [[0.5000, 0.5000, 0.5000], [0.2500, 0.2500, 0.2500], [0.0000, 0.0000, 0.0000], [0.7500, 0.7500, 0.7500]], "space_group": "F-43m", "total_magnetization_mub_per_cell": 6.406, "dos_at_fermi_per_ev_cell": 9.65, "ef_ev_per_atom": 0.00}

---

(20)
{"formula": "PuMgCdSn", "functional": "PBE-GGA", "state": "optimized geometry", "cell": [[4.3554, 0.0000, 0.0000], [0.0000, 4.6378, 0.0000], [0.0000, 0.0000, 4.9216]], "species": ["Mg", "Pu", "Sn", "Cd"], "frac_coords": [[0.5000, 0.0000, 0.5000], [0.5000, 0.5000, 0.0000], [0.0000, 0.0000, 0.0000], [0.0000, 0.5000, 0.5000]], "space_group": "Pmmm", "total_magnetization_mub_per_cell": 5.707, "e_above_lowest_polymorph_ev_per_atom": 0.000, "dos_at_fermi_per_ev_cell": 11.54, "ef_ev_per_atom": -0.19}